Computed, not measured: a relaxed structure of PrMoBrO4 at the PBE with a Hubbard U level of DFT.

The total energy comes out at -48.671 eV/f.u. As for the crystal system: monoclinic.

It has space group C2/m (No. 12), with a = 10.823 Å, b = 7.579 Å, c = 7.151 Å, α = 90.00°, β = 106.15° and γ = 90.00°. The distinct sites, in fractional coordinates, are Pr at (0.230, 0.000, 0.122), Mo at (0.136, 0.500, 0.265), Br at (0.014, 0.000, 0.754), O at (0.034, 0.500, 0.790), O at (0.193, 0.316, 0.148) and O at (0.204, 0.500, 0.522).